Entry 1:
First-principles (PBE) data for an optimized crystal structure of Sm2HoCd4, as listed in the Alexandria database.

Raw total energy in eV for the cell shown: -15.93
Polymorph energy (0 for the lowest one) in eV per formula unit: 2.89
Density in g/cm³: 6.1
ΔH_f (0 K) in eV/atom: 0.2497
DOS(E_F) in states/eV per cell: 7.221

Lattice parameters (Å, degrees): 5.6004 5.6004 8.8376 108.47 108.47 90.00
Last column: nearest neighbours and their distance in Å.
Positions (direct):
Sm 0.6055 0.6055 0.2111  5 Cd 3.20-3.26, 1 Sm 3.34
Sm 0.3945 0.3945 0.7889  5 Cd 3.20-3.26, 1 Sm 3.34
Ho 0.0000 0.0000 0.0000  6 Cd 2.80-3.03
Cd 0.8083 0.8083 0.6167  1 Ho 3.03, 1 Sm 3.20
Cd 0.1917 0.1917 0.3833  1 Ho 3.03, 1 Sm 3.20
Cd 0.0000 0.5000 0.0000  2 Ho 2.80
Cd 0.5000 0.0000 0.0000  2 Ho 2.80

=====

Entry 2:
First-principles (PBE) data for an optimized crystal structure of NaNbTc2Br, as listed in the Alexandria database.

Raw total energy in eV for the cell shown: -26.69
Density in g/cm³: 6.3
ΔE_f (raw) in eV per atom: 1.42
DOS(E_F) in states/eV per cell: 4.045

Lattice parameters (Å, degrees): 4.6385 4.7961 4.6385 90.00 90.00 90.00
Last column: nearest neighbours and their distance in Å.
Positions (direct):
Na 0.5000 0.5000 0.5000  4 Nb 3.28, 8 Tc 3.34
Nb 0.0000 0.5000 0.0000  2 Br 2.40
Tc 0.0000 0.0000 0.5000  2 Br 2.32
Tc 0.5000 0.0000 0.0000  2 Br 2.32
Br 0.0000 0.0000 0.0000  4 Tc 2.32, 2 Nb 2.40

=====

Entry 3:
First-principles (PBE) data for an optimized crystal structure of TaCS3, as listed in the Alexandria database.

Raw total energy in eV for the cell shown: -28.78
Polymorph energy (0 for the lowest one) in eV per formula unit: 0.00
Density in g/cm³: 7.2
ΔE_f (raw) in eV per atom: 0.94
DOS(E_F) in states/eV per cell: 2.773

Lattice parameters (Å, degrees): 4.0495 4.0495 4.0495 90.00 90.00 90.00
Last column: nearest neighbours and their distance in Å.
Positions (direct):
S 0.0000 0.5000 0.0000  2 C 2.02
S 0.0000 0.0000 0.5000  2 C 2.02
S 0.5000 0.0000 0.0000  2 C 2.02
C 0.0000 0.0000 0.0000  6 S 2.02
Ta 0.5000 0.5000 0.5000  12 S 2.86

=====

Entry 4:
First-principles (PBE) data for an optimized crystal structure of Sm2Y2HoEr2, as listed in the Alexandria database.

Raw total energy in eV for the cell shown: -34.99
Density in g/cm³: 7.0
ΔH_f (0 K) in eV/atom: 0.1544
DOS(E_F) in states/eV per cell: 12.363

Lattice parameters (Å, degrees): 3.4938 12.0880 11.7964 150.81 90.00 98.31
Last column: nearest neighbours and their distance in Å.
Positions (direct):
Sm 0.7029 0.4059 0.0437  3 Ho 3.46-3.58, 4 Sm 3.49-3.64, 1 Er 3.49, 3 Y 3.58-3.74
Sm 0.2971 0.5941 0.9563  3 Ho 3.46-3.58, 4 Sm 3.49-3.64, 1 Er 3.49, 3 Y 3.58-3.74
Y 0.9492 0.8983 0.6970  1 Ho 3.45, 2 Y 3.49, 5 Er 3.50-3.55, 3 Sm 3.58-3.74
Y 0.0508 0.1017 0.3030  1 Ho 3.45, 2 Y 3.49, 5 Er 3.50-3.55, 3 Sm 3.58-3.74
Ho 0.0000 0.0000 0.5000  2 Y 3.45, 6 Sm 3.46-3.58, 2 Ho 3.49
Er 0.6449 0.2897 0.2308  5 Er 3.33-3.51, 1 Sm 3.49, 5 Y 3.50-3.55
Er 0.3551 0.7103 0.7692  5 Er 3.33-3.51, 1 Sm 3.49, 5 Y 3.50-3.55

=====

Entry 5:
First-principles (PBE) data for an optimized crystal structure of Li2Mg3Hg3, as listed in the Alexandria database.

Raw total energy in eV for the cell shown: -11.56
Polymorph energy (0 for the lowest one) in eV per formula unit: 0.00
Density in g/cm³: 7.1
ΔH_f (0 K) in eV/atom: -0.2554
DOS(E_F) in states/eV per cell: 2.972

Lattice parameters (Å, degrees): 3.6524 4.6123 10.0204 77.22 79.48 90.14
Last column: nearest neighbours and their distance in Å.
Positions (direct):
Li 0.7472 0.7483 0.5036  4 Hg 2.76-3.06, 4 Li 2.94-2.95, 2 Mg 3.03
Li 0.2528 0.2517 0.4964  4 Hg 2.76-3.06, 4 Li 2.94-2.95, 2 Mg 3.03
Mg 0.8801 0.3754 0.2444  6 Hg 2.96-2.98, 2 Li 3.03, 2 Mg 3.27-3.31
Mg 0.1199 0.6246 0.7556  6 Hg 2.96-2.98, 2 Li 3.03, 2 Mg 3.27-3.31
Mg 0.0000 0.0000 0.0000  4 Hg 2.94-2.95, 2 Mg 3.27
Hg 0.3548 0.8547 0.2882  4 Li 2.76-3.06, 4 Mg 2.96-2.98
Hg 0.5000 0.5000 0.0000  8 Mg 2.94-2.98
Hg 0.6452 0.1453 0.7118  4 Li 2.76-3.06, 4 Mg 2.96-2.98

=====

Entry 6:
First-principles (PBE) data for an optimized crystal structure of ZrTlOs2O8, as listed in the Alexandria database.

Raw total energy in eV for the cell shown: -88.79
Density in g/cm³: 5.8
ΔE_f (raw) in eV per atom: -1.31
DOS(E_F) in states/eV per cell: 6.268

Lattice parameters (Å, degrees): 5.8677 5.8677 7.7471 90.00 90.00 120.00
Last column: nearest neighbours and their distance in Å.
Positions (direct):
Zr 0.0000 0.0000 0.5000  6 O 2.10
Tl 0.0000 0.0000 0.0000  12 O 3.13-3.39
Os 0.6667 0.3333 0.2460  4 O 1.76-1.84
Os 0.3333 0.6667 0.7540  4 O 1.76-1.84
O 0.3333 0.6667 0.9816  1 Os 1.76
O 0.3341 0.1680 0.3395  1 Os 1.84
O 0.8320 0.1661 0.3395  1 Os 1.84
O 0.6667 0.3333 0.0184  1 Os 1.76
O 0.1680 0.8339 0.6605  1 Os 1.84
O 0.6659 0.8320 0.6605  1 Os 1.84
O 0.1661 0.3341 0.6605  1 Os 1.84
O 0.8339 0.6659 0.3395  1 Os 1.84

=====

Entry 7:
First-principles (PBE) data for an optimized crystal structure of Pr2MgGa3Ni4, as listed in the Alexandria database.

Raw total energy in eV for the cell shown: -48.02
Density in g/cm³: 7.0
ΔH_f (0 K) in eV/atom: -0.4658
DOS(E_F) in states/eV per cell: 7.775

Lattice parameters (Å, degrees): 4.1525 4.1525 10.3214 90.00 90.00 90.00
Last column: nearest neighbours and their distance in Å.
Positions (direct):
Pr 0.5000 0.0000 0.2383  8 Ni 3.18-3.22, 6 Ga 3.18-3.41, 2 Mg 3.41
Pr 0.0000 0.5000 0.7617  8 Ni 3.18-3.22, 6 Ga 3.18-3.41, 2 Mg 3.41
Mg 0.5000 0.5000 0.5000  4 Ni 2.55
Ga 0.0000 0.0000 0.5000  4 Ni 2.55
Ga 0.5000 0.0000 0.8802  5 Ni 2.42-2.44
Ga 0.0000 0.5000 0.1198  5 Ni 2.42-2.44
Ni 0.5000 0.5000 0.0000  4 Ga 2.42
Ni 0.0000 0.0000 0.0000  4 Ga 2.42
Ni 0.5000 0.0000 0.6438  3 Ga 2.44-2.55, 2 Mg 2.55
Ni 0.0000 0.5000 0.3562  3 Ga 2.44-2.55, 2 Mg 2.55

=====

Entry 8:
First-principles (PBE) data for an optimized crystal structure of Mn2MoSe, as listed in the Alexandria database.

Raw total energy in eV for the cell shown: -31.71
Density in g/cm³: 8.5
ΔE_f (raw) in eV per atom: 0.24
DOS(E_F) in states/eV per cell: 4.613

Lattice parameters (Å, degrees): 4.9373 4.9373 4.3237 63.99 63.99 36.62
Last column: nearest neighbours and their distance in Å.
Positions (direct):
Mn 0.9901 0.9901 0.0099  2 Se 2.53, 2 Mo 2.66, 4 Mn 2.67
Mn 0.5099 0.5099 0.4901  2 Se 2.53, 2 Mo 2.66, 4 Mn 2.67
Mo 0.7500 0.7500 0.7500  8 Mn 2.66-2.94, 4 Se 2.66
Se 0.2500 0.2500 0.2500  4 Mn 2.53, 4 Mo 2.66

=====

Entry 9:
First-principles (PBE) data for an optimized crystal structure of Tm5Rh3, as listed in the Alexandria database.

Raw total energy in eV for the cell shown: -203.63
Polymorph energy (0 for the lowest one) in eV per formula unit: 0.00
Density in g/cm³: 10.6
ΔH_f (0 K) in eV/atom: -0.8118
DOS(E_F) in states/eV per cell: 18.414

Lattice parameters (Å, degrees): 6.2671 10.7523 10.7523 90.00 90.00 90.00
Last column: nearest neighbours and their distance in Å.
Positions (direct):
Tm 0.3772 0.2910 0.0880  5 Rh 2.85-3.10
Tm 0.8772 0.2910 0.9120  5 Rh 2.85-3.10
Tm 0.8772 0.7090 0.0880  5 Rh 2.85-3.10
Tm 0.3772 0.7090 0.9120  5 Rh 2.85-3.10
Tm 0.8772 0.5880 0.7910  5 Rh 2.85-3.10
Tm 0.3772 0.5880 0.2090  5 Rh 2.85-3.10
Tm 0.3772 0.4120 0.7910  5 Rh 2.85-3.10
Tm 0.8772 0.4120 0.2090  5 Rh 2.85-3.10
Tm 0.6228 0.2090 0.4120  5 Rh 2.85-3.10
Tm 0.1228 0.2090 0.5880  5 Rh 2.85-3.10
Tm 0.1228 0.7910 0.4120  5 Rh 2.85-3.10
Tm 0.6228 0.7910 0.5880  5 Rh 2.85-3.10
Tm 0.1228 0.9120 0.7090  5 Rh 2.85-3.10
Tm 0.6228 0.9120 0.2910  5 Rh 2.85-3.10
Tm 0.6228 0.0880 0.7090  5 Rh 2.85-3.10
Tm 0.1228 0.0880 0.2910  5 Rh 2.85-3.10
Tm 0.5000 0.0000 0.0000  4 Rh 2.82, 2 Tm 3.13
Tm 0.0000 0.0000 0.0000  4 Rh 2.82, 2 Tm 3.13
Tm 0.0000 0.5000 0.5000  4 Rh 2.82, 2 Tm 3.13
Tm 0.5000 0.5000 0.5000  4 Rh 2.82, 2 Tm 3.13
Rh 0.2500 0.8458 0.1542  8 Tm 2.82-3.10
Rh 0.7500 0.8458 0.8458  8 Tm 2.82-3.10
Rh 0.7500 0.1542 0.1542  8 Tm 2.82-3.10
Rh 0.2500 0.1542 0.8458  8 Tm 2.82-3.10
Rh 0.7500 0.6542 0.3458  8 Tm 2.82-3.10
Rh 0.2500 0.6542 0.6542  8 Tm 2.82-3.10
Rh 0.2500 0.3458 0.3458  8 Tm 2.82-3.10
Rh 0.7500 0.3458 0.6542  8 Tm 2.82-3.10
Rh 0.1238 0.5000 0.0000  8 Tm 2.89-2.91, 2 Rh 3.13
Rh 0.6238 0.5000 0.0000  8 Tm 2.89-2.91, 2 Rh 3.13
Rh 0.8762 0.0000 0.5000  8 Tm 2.89-2.91, 2 Rh 3.13
Rh 0.3762 0.0000 0.5000  8 Tm 2.89-2.91, 2 Rh 3.13

=====

Entry 10:
First-principles (PBE) data for an optimized crystal structure of Ca2SbAs, as listed in the Alexandria database.

Raw total energy in eV for the cell shown: -13.54
Density in g/cm³: 3.6
ΔE_f (raw) in eV per atom: -0.19
DOS(E_F) in states/eV per cell: 3.357

Lattice parameters (Å, degrees): 9.7976 9.7976 9.7976 23.14 23.14 23.14
Last column: nearest neighbours and their distance in Å.
Positions (direct):
Sb 0.4843 0.4843 0.4843  3 As 2.85
As 0.7575 0.7575 0.7575  3 Sb 2.85, 3 Ca 3.05
Ca 0.0194 0.0194 0.0194  3 As 3.05
Ca 0.2387 0.2387 0.2387  3 Sb 3.38

=====

What is the formula in the seventh record? Pr2MgGa3Ni4

=====

Copy entry 2 word for word.
First-principles (PBE) data for an optimized crystal structure of NaNbTc2Br, as listed in the Alexandria database.

Raw total energy in eV for the cell shown: -26.69
Density in g/cm³: 6.3
ΔE_f (raw) in eV per atom: 1.42
DOS(E_F) in states/eV per cell: 4.045

Lattice parameters (Å, degrees): 4.6385 4.7961 4.6385 90.00 90.00 90.00
Last column: nearest neighbours and their distance in Å.
Positions (direct):
Na 0.5000 0.5000 0.5000  4 Nb 3.28, 8 Tc 3.34
Nb 0.0000 0.5000 0.0000  2 Br 2.40
Tc 0.0000 0.0000 0.5000  2 Br 2.32
Tc 0.5000 0.0000 0.0000  2 Br 2.32
Br 0.0000 0.0000 0.0000  4 Tc 2.32, 2 Nb 2.40

=====

Among the records above, which one has the highest density? Tm5Rh3